DyZn4Ag2: optimized geometry, PBE-GGA.

Size of the total moment: 0.00 Bohr magnetons per cell
Final energy: -2.40 eV per atom
N(E_F): 0.367 states/eV/atom

The structure in extended XYZ format:
```
7
Lattice="5.486 0.280 0.309 2.395 4.757 -0.492 -1.468 -1.753 5.004" Properties=species:S:1:pos:R:3 pbc="T T T"
Zn 1.352 -0.179 4.966
Zn 5.061 3.463 -0.145
Zn 6.582 2.906 1.866
Zn -0.169 0.378 2.955
Ag 2.599 0.460 2.542
Ag 3.814 2.824 2.279
Dy 0.000 0.000 0.000
```